Entry 1:
# PBE TlAs2Os, relaxed
# energy above the lowest structure with this stoichiometry	510.1	meV/atom
# formation energy	647.3	meV/atom
# DOS(E_F)	0.83	states/eV/atom
data_TlAs2Os
_chemical_formula_sum 'Tl2 As4 Os2'
_cell_length_a 3.1440
_cell_length_b 5.1589
_cell_length_c 10.0974
_cell_angle_alpha 90.00
_cell_angle_beta 90.00
_cell_angle_gamma 90.00
_symmetry_space_group_name_H-M 'C m m 2'
_symmetry_Int_Tables_number 35
loop_
_symmetry_equiv_pos_as_xyz
'x,y,z'
'-x,-y,z'
'-x,y,z'
'x,-y,z'
'x+1/2,y+1/2,z'
'-x+1/2,-y+1/2,z'
'-x+1/2,y+1/2,z'
'x+1/2,-y+1/2,z'
loop_
_atom_site_label
_atom_site_type_symbol
_atom_site_fract_x
_atom_site_fract_y
_atom_site_fract_z
Tl1 Tl 0.0000 0.0000 0.0000
As1 As 0.0000 0.0000 0.4374
As2 As 0.0000 0.5000 0.7278
Os1 Os 0.0000 0.5000 0.2566

***

Entry 2:
# PBE PmHfCuAu, relaxed
# formation energy	-232.4	meV/atom
# DOS(E_F)	1.13	states/eV/atom
data_PmHfCuAu
_chemical_formula_sum 'Pm4 Hf4 Cu4 Au4'
_cell_length_a 6.9699
_cell_length_b 6.9699
_cell_length_c 6.9699
_cell_angle_alpha 90.00
_cell_angle_beta 90.00
_cell_angle_gamma 90.00
_symmetry_space_group_name_H-M 'F -4 3 m'
_symmetry_Int_Tables_number 216
_symmetry_space_group_name_Hall 'F -4 2 3'
loop_
_atom_site_label
_atom_site_type_symbol
_atom_site_fract_x
_atom_site_fract_y
_atom_site_fract_z
Pm1 Pm 0.0000 0.0000 0.0000
Hf1 Hf 0.0000 0.0000 0.5000
Cu1 Cu 0.2500 0.2500 0.7500
Au1 Au 0.2500 0.2500 0.2500

***

Entry 3:
# PBE ErScSn2, relaxed
# energy above the lowest structure with this stoichiometry	135.2	meV/atom
# formation energy	-480.3	meV/atom
# DOS(E_F)	0.78	states/eV/atom
data_ErScSn2
_chemical_formula_sum 'Er4 Sc4 Sn8'
_cell_length_a 7.3726
_cell_length_b 7.3726
_cell_length_c 7.3726
_cell_angle_alpha 90.00
_cell_angle_beta 90.00
_cell_angle_gamma 90.00
_symmetry_space_group_name_H-M 'F m -3 m'
_symmetry_Int_Tables_number 225
_symmetry_space_group_name_Hall '-F 4 2 3'
loop_
_atom_site_label
_atom_site_type_symbol
_atom_site_fract_x
_atom_site_fract_y
_atom_site_fract_z
Er1 Er 0.0000 0.0000 0.0000
Sc1 Sc 0.0000 0.0000 0.5000
Sn1 Sn 0.2500 0.2500 0.2500